1.
# Gd2ZrCl

A geometry-optimized Gd2ZrCl structure (GGA-PBE, Alexandria via LeMat-Bulk).

Output
Size of the total moment (μB/f.u.): 14.87
Formation energy without anion corrections (eV per atom): -0.6163

Cell lengths 9.8987, 9.8987, 9.8987 Å; angles 20.58, 20.58, 20.58 degrees
Atoms (fractional coordinates):
Gd 0.2440 0.2440 0.2440
Gd 0.7560 0.7560 0.7560
Zr 0.0000 0.0000 0.0000
Cl 0.5000 0.5000 0.5000


2.
# GeCl4

A geometry-optimized GeCl4 structure (GGA-PBE, Alexandria via LeMat-Bulk).

Output
Polymorph energy (0 for the lowest one) (meV per atom): 3.0
Size of the total moment (μB/f.u.): 0.00
Formation energy without anion corrections (eV per atom): -0.9229

Cell lengths 5.8952, 11.3813, 5.9831 Å; angles 90.00, 90.11, 90.00 degrees
Atoms (fractional coordinates):
Ge 0.0000 0.2502 0.2500
Ge 0.0000 0.7498 0.7500
Cl 0.2088 0.1418 0.0442
Cl 0.2088 0.8582 0.5442
Cl 0.2097 0.3588 0.4554
Cl 0.2097 0.6412 0.9554
Cl 0.7903 0.3588 0.0446
Cl 0.7903 0.6412 0.5446
Cl 0.7912 0.1418 0.4558
Cl 0.7912 0.8582 0.9558


3.
# GeCl

A geometry-optimized GeCl structure (GGA-PBE, Alexandria via LeMat-Bulk).

Output
Polymorph energy (0 for the lowest one) (meV per atom): 564.5
Size of the total moment (μB/f.u.): 0.00
Formation energy without anion corrections (eV per atom): 0.0117

Cell lengths 7.5815, 7.5815, 7.5815 Å; angles 109.47, 109.47, 109.47 degrees
Atoms (fractional coordinates):
Ge 0.0000 0.0000 0.2288
Ge 0.0000 0.2288 0.0000
Ge 0.2288 0.0000 0.0000
Ge 0.7712 0.7712 0.7712
Cl 0.0000 0.0000 0.6189
Cl 0.0000 0.6189 0.0000
Cl 0.3811 0.3811 0.3811
Cl 0.6189 0.0000 0.0000


4.
# GeCl

A geometry-optimized GeCl structure (GGA-PBE, Alexandria via LeMat-Bulk).

Output
Polymorph energy (0 for the lowest one) (meV per atom): 190.4
Size of the total moment (μB/f.u.): 0.00
Formation energy without anion corrections (eV per atom): -0.3623

Cell lengths 11.8233, 5.3118, 5.3003 Å; angles 90.00, 90.00, 90.00 degrees
Atoms (fractional coordinates):
Ge 0.0000 0.0971 0.0000
Ge 0.2175 0.9951 0.9447
Ge 0.2825 0.0049 0.4447
Ge 0.5000 0.9029 0.5000
Ge 0.7175 0.0049 0.4447
Ge 0.7825 0.9951 0.9447
Cl 0.0000 0.2001 0.4132
Cl 0.1528 0.5822 0.9309
Cl 0.3472 0.4178 0.4309
Cl 0.5000 0.7999 0.9132
Cl 0.6528 0.4178 0.4309
Cl 0.8472 0.5822 0.9309


5.
# GeCl

A geometry-optimized GeCl structure (GGA-PBE, Alexandria via LeMat-Bulk).

Output
Polymorph energy (0 for the lowest one) (meV per atom): 0.0
Size of the total moment (μB/f.u.): 0.00
Formation energy without anion corrections (eV per atom): -0.5527

Cell lengths 4.2170, 4.2175, 8.6052 Å; angles 89.83, 75.93, 60.02 degrees
Atoms (fractional coordinates):
Ge 0.0000 0.0000 0.0000
Ge 0.2795 0.3599 0.0820
Cl 0.1088 0.4433 0.3461
Cl 0.1758 0.9135 0.7359


6.
# GeCl

A geometry-optimized GeCl structure (GGA-PBE, Alexandria via LeMat-Bulk).

Output
Polymorph energy (0 for the lowest one) (meV per atom): 446.7
Size of the total moment (μB/f.u.): 0.00
Formation energy without anion corrections (eV per atom): -0.1061

Cell lengths 9.5384, 9.5384, 3.1682 Å; angles 90.00, 90.00, 90.00 degrees
Atoms (fractional coordinates):
Ge 0.1353 0.1353 0.0000
Ge 0.3647 0.6353 0.5000
Ge 0.6353 0.3647 0.5000
Ge 0.8647 0.8647 0.0000
Cl 0.1227 0.8773 0.0000
Cl 0.3773 0.3773 0.5000
Cl 0.6227 0.6227 0.5000
Cl 0.8773 0.1227 0.0000


7.
# GeCl4

A geometry-optimized GeCl4 structure (GGA-PBE, Alexandria via LeMat-Bulk).

Output
Polymorph energy (0 for the lowest one) (meV per atom): 0.3
Size of the total moment (μB/f.u.): 0.00
Formation energy without anion corrections (eV per atom): -0.9257

Cell lengths 6.8079, 6.8079, 6.8079 Å; angles 126.83, 126.83, 78.53 degrees
Atoms (fractional coordinates):
Ge 0.0000 0.0000 0.0000
Cl 0.0851 0.6807 0.0000
Cl 0.3193 0.3193 0.4044
Cl 0.6807 0.0851 0.0000
Cl 0.9149 0.9149 0.5956


8.
# GeCl

A geometry-optimized GeCl structure (GGA-PBE, Alexandria via LeMat-Bulk).

Output
Polymorph energy (0 for the lowest one) (meV per atom): 310.9
Size of the total moment (μB/f.u.): 0.00
Formation energy without anion corrections (eV per atom): -0.2419

Cell lengths 7.7344, 7.7344, 7.7344 Å; angles 96.71, 96.71, 140.02 degrees
Atoms (fractional coordinates):
Ge 0.0237 0.3683 0.3921
Ge 0.3683 0.9763 0.3446
Ge 0.6317 0.0237 0.6554
Ge 0.9763 0.6317 0.6079
Cl 0.2464 0.4037 0.6501
Cl 0.4037 0.7536 0.1573
Cl 0.5963 0.2464 0.8427
Cl 0.7536 0.5963 0.3499


9.
# Ge4Cl

A geometry-optimized Ge4Cl structure (GGA-PBE, Alexandria via LeMat-Bulk).

Output
Size of the total moment (μB/f.u.): 0.00
Formation energy without anion corrections (eV per atom): 0.8064

Cell lengths 4.9872, 4.9872, 4.9872 Å; angles 90.00, 90.00, 90.00 degrees
Atoms (fractional coordinates):
Ge 0.0000 0.0000 0.0000
Ge 0.0000 0.5000 0.5000
Ge 0.5000 0.0000 0.5000
Ge 0.5000 0.5000 0.0000
Cl 0.5000 0.5000 0.5000


10.
# GeCl

A geometry-optimized GeCl structure (GGA-PBE, Alexandria via LeMat-Bulk).

Output
Polymorph energy (0 for the lowest one) (meV per atom): 119.7
Size of the total moment (μB/f.u.): 0.00
Formation energy without anion corrections (eV per atom): -0.4331

Cell lengths 4.2277, 7.9888, 14.2821 Å; angles 90.00, 90.00, 90.00 degrees
Atoms (fractional coordinates):
Ge 0.0813 0.0410 0.4561
Ge 0.0807 0.6547 0.4835
Ge 0.4193 0.3453 0.9835
Ge 0.4187 0.9590 0.9561
Ge 0.5813 0.4590 0.5439
Ge 0.5807 0.8453 0.5165
Ge 0.9193 0.1547 0.0165
Ge 0.9187 0.5410 0.0439
Cl 0.0780 0.1806 0.5977
Cl 0.0792 0.6955 0.3290
Cl 0.4208 0.3045 0.8290
Cl 0.4220 0.8194 0.0977
Cl 0.5780 0.3194 0.4023
Cl 0.5792 0.8045 0.6710
Cl 0.9208 0.1955 0.1710
Cl 0.9220 0.6806 0.9023


11.
# Ge6Cl

A geometry-optimized Ge6Cl structure (GGA-PBE, Alexandria via LeMat-Bulk).

Output
Size of the total moment (μB/f.u.): 0.00
Formation energy without anion corrections (eV per atom): 0.0518

Cell lengths 6.0741, 6.0741, 6.0741 Å; angles 109.47, 109.47, 109.47 degrees
Atoms (fractional coordinates):
Ge 0.2500 0.5000 0.7500
Ge 0.2500 0.7500 0.5000
Ge 0.5000 0.2500 0.7500
Ge 0.5000 0.7500 0.2500
Ge 0.7500 0.2500 0.5000
Ge 0.7500 0.5000 0.2500
Cl 0.0000 0.0000 0.0000


12.
# GeCl

A geometry-optimized GeCl structure (GGA-PBE, Alexandria via LeMat-Bulk).

Output
Polymorph energy (0 for the lowest one) (meV per atom): 378.4
Size of the total moment (μB/f.u.): 0.00
Formation energy without anion corrections (eV per atom): -0.1744

Cell lengths 8.3689, 8.3689, 6.2519 Å; angles 90.00, 90.00, 120.00 degrees
Atoms (fractional coordinates):
Ge 0.0214 0.8130 0.2500
Ge 0.1870 0.2083 0.2500
Ge 0.2083 0.0214 0.7500
Ge 0.7917 0.9786 0.2500
Ge 0.8130 0.7917 0.7500
Ge 0.9786 0.1870 0.7500
Cl 0.0203 0.3718 0.2500
Cl 0.3515 0.9797 0.2500
Cl 0.3718 0.3515 0.7500
Cl 0.6282 0.6485 0.2500
Cl 0.6485 0.0203 0.7500
Cl 0.9797 0.6282 0.7500


13.
# GeCl2

A geometry-optimized GeCl2 structure (GGA-PBE, Alexandria via LeMat-Bulk).

Output
Size of the total moment (μB/f.u.): 0.00
Formation energy without anion corrections (eV per atom): -0.7944

Cell lengths 5.7876, 5.7876, 6.6361 Å; angles 102.01, 102.01, 94.37 degrees
Atoms (fractional coordinates):
Ge 0.1048 0.8952 0.7500
Ge 0.8952 0.1048 0.2500
Cl 0.1123 0.2751 0.6666
Cl 0.2751 0.1123 0.1666
Cl 0.7249 0.8877 0.8334
Cl 0.8877 0.7249 0.3334


14.
# GeCl

A geometry-optimized GeCl structure (GGA-PBE, Alexandria via LeMat-Bulk).

Output
Polymorph energy (0 for the lowest one) (meV per atom): 294.3
Size of the total moment (μB/f.u.): 0.00
Formation energy without anion corrections (eV per atom): -0.2585

Cell lengths 8.3436, 7.1583, 5.9831 Å; angles 78.26, 57.14, 44.60 degrees
Atoms (fractional coordinates):
Ge 0.0065 0.0065 0.2435
Ge 0.2435 0.2435 0.0065
Ge 0.7565 0.7565 0.9935
Ge 0.9935 0.9935 0.7565
Cl 0.2179 0.5321 0.2179
Cl 0.4679 0.7821 0.4679
Cl 0.5321 0.2179 0.5321
Cl 0.7821 0.4679 0.7821


15.
# GeCl

A geometry-optimized GeCl structure (GGA-PBE, Alexandria via LeMat-Bulk).

Output
Polymorph energy (0 for the lowest one) (meV per atom): 179.7
Size of the total moment (μB/f.u.): 0.00
Formation energy without anion corrections (eV per atom): -0.3730

Cell lengths 4.3010, 5.5743, 5.9823 Å; angles 102.09, 90.43, 112.54 degrees
Atoms (fractional coordinates):
Ge 0.1820 0.3638 0.4571
Ge 0.8180 0.6362 0.5429
Cl 0.1048 0.2024 0.7822
Cl 0.8952 0.7976 0.2178


16.
# GeCl4

A geometry-optimized GeCl4 structure (GGA-PBE, Alexandria via LeMat-Bulk).

Output
Polymorph energy (0 for the lowest one) (meV per atom): 757.8
Size of the total moment (μB/f.u.): 1.13
Formation energy without anion corrections (eV per atom): -0.1682

Cell lengths 4.9581, 4.9581, 4.9581 Å; angles 90.00, 90.00, 90.00 degrees
Atoms (fractional coordinates):
Ge 0.0000 0.0000 0.0000
Cl 0.0000 0.0000 0.5000
Cl 0.0000 0.5000 0.0000
Cl 0.5000 0.0000 0.0000
Cl 0.5000 0.5000 0.5000


17.
# GeCl

A geometry-optimized GeCl structure (GGA-PBE, Alexandria via LeMat-Bulk).

Output
Polymorph energy (0 for the lowest one) (meV per atom): 346.9
Size of the total moment (μB/f.u.): 0.00
Formation energy without anion corrections (eV per atom): -0.2059

Cell lengths 3.3128, 3.3150, 5.5856 Å; angles 72.93, 89.79, 60.06 degrees
Atoms (fractional coordinates):
Ge 0.0000 0.0000 0.0000
Cl 0.8657 0.2724 0.5826


18.
# GeCl

A geometry-optimized GeCl structure (GGA-PBE, Alexandria via LeMat-Bulk).

Output
Polymorph energy (0 for the lowest one) (meV per atom): 834.6
Size of the total moment (μB/f.u.): 0.00
Formation energy without anion corrections (eV per atom): 0.2818

Cell lengths 4.9007, 4.9007, 5.8136 Å; angles 90.00, 90.00, 120.00 degrees
Atoms (fractional coordinates):
Ge 0.3333 0.6667 0.2500
Ge 0.6667 0.3333 0.7500
Cl 0.3333 0.6667 0.7500
Cl 0.6667 0.3333 0.2500


19.
# GeCl

A geometry-optimized GeCl structure (GGA-PBE, Alexandria via LeMat-Bulk).

Output
Polymorph energy (0 for the lowest one) (meV per atom): 936.5
Size of the total moment (μB/f.u.): 1.03
Formation energy without anion corrections (eV per atom): 0.3838

Cell lengths 7.9535, 7.9535, 7.9535 Å; angles 90.00, 90.00, 90.00 degrees
Atoms (fractional coordinates):
Ge 0.0000 0.2500 0.5000
Ge 0.0000 0.7500 0.5000
Ge 0.2500 0.5000 0.0000
Ge 0.5000 0.0000 0.2500
Ge 0.5000 0.0000 0.7500
Ge 0.7500 0.5000 0.0000
Cl 0.0000 0.5000 0.2500
Cl 0.0000 0.5000 0.7500
Cl 0.2500 0.0000 0.5000
Cl 0.5000 0.2500 0.0000
Cl 0.5000 0.7500 0.0000
Cl 0.7500 0.0000 0.5000


20.
# GeCl

A geometry-optimized GeCl structure (GGA-PBE, Alexandria via LeMat-Bulk).

Output
Polymorph energy (0 for the lowest one) (meV per atom): 722.2
Size of the total moment (μB/f.u.): 0.00
Formation energy without anion corrections (eV per atom): 0.1695

Cell lengths 4.1316, 4.1316, 4.1316 Å; angles 60.00, 60.00, 60.00 degrees
Atoms (fractional coordinates):
Ge 0.0000 0.0000 0.0000
Cl 0.5000 0.5000 0.5000


21.
# GeCl

A geometry-optimized GeCl structure (GGA-PBE, Alexandria via LeMat-Bulk).

Output
Polymorph energy (0 for the lowest one) (meV per atom): 280.4
Size of the total moment (μB/f.u.): 0.00
Formation energy without anion corrections (eV per atom): -0.2724

Cell lengths 12.8472, 12.8472, 3.3751 Å; angles 90.00, 90.00, 90.00 degrees
Atoms (fractional coordinates):
Ge 0.0179 0.1354 0.0000
Ge 0.1354 0.9821 0.0000
Ge 0.2569 0.5289 0.5000
Ge 0.4711 0.2569 0.5000
Ge 0.5289 0.7431 0.5000
Ge 0.7431 0.4711 0.5000
Ge 0.8646 0.0179 0.0000
Ge 0.9821 0.8646 0.0000
Cl 0.1369 0.5955 0.0000
Cl 0.2010 0.3653 0.5000
Cl 0.3653 0.7990 0.5000
Cl 0.4045 0.1369 0.0000
Cl 0.5955 0.8631 0.0000
Cl 0.6347 0.2010 0.5000
Cl 0.7990 0.6347 0.5000
Cl 0.8631 0.4045 0.0000


22.
# GeCl

A geometry-optimized GeCl structure (GGA-PBE, Alexandria via LeMat-Bulk).

Output
Polymorph energy (0 for the lowest one) (meV per atom): 184.3
Size of the total moment (μB/f.u.): 0.00
Formation energy without anion corrections (eV per atom): -0.3684

Cell lengths 5.6193, 5.6193, 5.6193 Å; angles 135.07, 79.42, 118.40 degrees
Atoms (fractional coordinates):
Ge 0.0000 0.0000 0.0000
Ge 0.7354 0.2354 0.5000
Cl 0.2512 0.9433 0.3078
Cl 0.6355 0.9433 0.6922


23.
# GeCl

A geometry-optimized GeCl structure (GGA-PBE, Alexandria via LeMat-Bulk).

Output
Polymorph energy (0 for the lowest one) (meV per atom): 876.1
Size of the total moment (μB/f.u.): 0.00
Formation energy without anion corrections (eV per atom): 0.3233

Cell lengths 4.5020, 4.5020, 4.5020 Å; angles 60.00, 60.00, 60.00 degrees
Atoms (fractional coordinates):
Ge 0.0000 0.0000 0.0000
Cl 0.2500 0.2500 0.2500